Record 1
Here is a relaxed structure of Te2PF from Alexandria via LeMat-Bulk. Energies are from PBE.

Unit cell a=6.3144 b=6.3144 c=6.3144 alpha=113.43 beta=113.43 gamma=101.81
With the nearest neighbours (Å) after each atom.
Element x y z (fractional)
Te 0.1045 0.6250 0.9795  2 P 2.55, 2 F 2.74
Te 0.3750 0.3545 0.4795  2 P 2.55, 2 F 2.74
Te 0.6455 0.1250 0.0205  2 P 2.55, 2 F 2.74
Te 0.8750 0.8955 0.5205  2 P 2.55, 2 F 2.74
P 0.0000 0.0000 0.0000  4 Te 2.55
P 0.7500 0.2500 0.5000  4 Te 2.55
F 0.2500 0.7500 0.5000  4 Te 2.74
F 0.5000 0.5000 0.0000  4 Te 2.74

* space group: I-42d (122)
* ρ: 5.3 Mg/m³

---

Record 2
Here is a relaxed structure of TeP2F from Alexandria via LeMat-Bulk. Energies are from PBE.

Unit cell a=6.4202 b=6.4202 c=6.4202 alpha=96.86 beta=96.86 gamma=139.57
With the nearest neighbours (Å) after each atom.
Element x y z (fractional)
Te 0.0000 0.0000 0.0000  2 F 2.22
Te 0.7500 0.2500 0.5000  2 F 2.22
P 0.0792 0.6250 0.9542  2 P 2.35
P 0.3750 0.3292 0.4542  2 P 2.35
P 0.6708 0.1250 0.0458  2 P 2.35
P 0.8750 0.9208 0.5458  2 P 2.35
F 0.2500 0.7500 0.5000  2 Te 2.22
F 0.5000 0.5000 0.0000  2 Te 2.22

* space group: I-42d (122)
* ρ: 4.3 Mg/m³

---

Record 3
Here is a relaxed structure of TeP2F from Alexandria via LeMat-Bulk. Energies are from PBE.

Unit cell a=4.5742 b=4.5742 c=4.5742 alpha=60.00 beta=60.00 gamma=60.00
With the nearest neighbours (Å) after each atom.
Element x y z (fractional)
Te 0.0000 0.0000 0.0000  8 P 2.80
P 0.2500 0.2500 0.2500  4 F 2.80, 4 Te 2.80
P 0.7500 0.7500 0.7500  4 F 2.80, 4 Te 2.80
F 0.5000 0.5000 0.5000  8 P 2.80

* space group: Fm-3m (225)
* ρ: 5.1 Mg/m³

---

Record 4
Here is a relaxed structure of TeP3F from Alexandria via LeMat-Bulk. Energies are from PBE.

Unit cell a=4.4958 b=4.4958 c=4.4958 alpha=90.00 beta=90.00 gamma=90.00
With the nearest neighbours (Å) after each atom.
Element x y z (fractional)
Te 0.0000 0.0000 0.0000  12 P 3.18
P 0.0000 0.5000 0.5000  2 F 2.25
P 0.5000 0.0000 0.5000  2 F 2.25
P 0.5000 0.5000 0.0000  2 F 2.25
F 0.5000 0.5000 0.5000  6 P 2.25

* space group: Pm-3m (221)
* ρ: 4.4 Mg/m³

---

Record 5
Here is a relaxed structure of Te2PF from Alexandria via LeMat-Bulk. Energies are from PBE.

Unit cell a=4.7956 b=4.7956 c=4.7956 alpha=60.00 beta=60.00 gamma=60.00
With the nearest neighbours (Å) after each atom.
Element x y z (fractional)
Te 0.2500 0.2500 0.2500  4 F 2.94, 4 P 2.94
Te 0.7500 0.7500 0.7500  4 P 2.94, 4 F 2.94
P 0.0000 0.0000 0.0000  8 Te 2.94
F 0.5000 0.5000 0.5000  8 Te 2.94

* space group: Fm-3m (225)
* ρ: 6.5 Mg/m³

---

Record 6
Here is a relaxed structure of TePF3 from Alexandria via LeMat-Bulk. Energies are from PBE.

Unit cell a=4.5478 b=4.5478 c=4.5478 alpha=90.00 beta=90.00 gamma=90.00
With the nearest neighbours (Å) after each atom.
Element x y z (fractional)
Te 0.0000 0.0000 0.0000  6 F 2.27
P 0.5000 0.5000 0.5000  12 F 3.22
F 0.0000 0.0000 0.5000  2 Te 2.27
F 0.0000 0.5000 0.0000  2 Te 2.27
F 0.5000 0.0000 0.0000  2 Te 2.27

* space group: Pm-3m (221)
* ρ: 3.8 Mg/m³

---

The records above yield volume values of 23.91 20.13 16.92 18.17 19.50 18.81 Å³ per atom, respectively.
The records above yield energy relative to the lowest polymorph listed for this composition values of 59.1 0.0 380.5 0.0 168.5 73.3 meV per atom, respectively.
The records above yield density of states at the Fermi level values of 0.0496 0.6670 0.6207 0.5526 0.4231 0.2574 states/eV/atom, respectively.